{
  "formula": "NaIBrO2",
  "functional": "meta-GGA SCAN",
  "state": "single point on PBEsol structure",
  "lattice_angstrom": [[-0.334, -1.774, 3.961], [4.247, 0.686, 0.665], [-1.341, 5.870, 2.516]],
  "species": ["I", "Na", "O", "O", "Br"],
  "frac_coords": [[0.000, 0.000, 0.500], [0.000, 0.000, 0.000], [0.000, 0.500, 0.000], [0.500, 0.000, 0.000], [0.500, 0.500, 0.500]],
  "vol_a3_per_atom": 24.736,
  "crystal_system": "tetragonal",
  "energy_ev_per_atom": -14.26,
  "magnetic_moment_mub_per_fu": 3.1,
  "space_group": "P4/mmm (123)"
}